La2TlIrAu | PBE-GGA | relaxed

Unit cell a=8.042 b=4.267 c=8.457 alpha=90.00 beta=112.03 gamma=90.00
Fractional positions:
La  0.032  0.250  0.232
La  0.355  0.750  0.622
La  0.645  0.250  0.378
La  0.968  0.750  0.768
Tl  0.335  0.250  0.964
Tl  0.665  0.750  0.036
Ir  0.105  0.250  0.617
Ir  0.895  0.750  0.383
Au  0.319  0.750  0.226
Au  0.681  0.250  0.774

Properties
The formation energy is -0.67 eV per atom.